Arrangement a

This record from Alexandria describes a relaxed structure of Ce2NpS6. The functional is PBE.

a = 4.0298 Å, b = 7.3046 Å, c = 7.3025 Å
α = 120.01°, β = 90.00°, γ = 90.00°
Last column: nearest neighbours and their distance in Å.
Fractional positions:
S: 0.5000 0.4039 0.4041  1 Np 2.95, 4 Ce 3.00, 6 S 3.22-3.28
S: 0.0000 0.2529 0.0000  2 Np 2.73, 2 Ce 2.78
S: 0.0000 0.9999 0.2528  2 Np 2.73, 2 Ce 2.78
S: 0.5000 0.5960 0.0000  1 Np 2.95, 4 Ce 3.00, 6 S 3.22-3.28
S: 0.0000 0.7472 0.7472  2 Np 2.73, 2 Ce 2.78
S: 0.5000 0.9998 0.5959  1 Np 2.95, 4 Ce 3.00, 6 S 3.22-3.28
Np: 0.5000 0.0002 0.0000  9 S 2.73-2.95
Ce: 0.0000 0.6668 0.3334  9 S 2.78-3.00
Ce: 0.0000 0.3334 0.6666  9 S 2.78-3.00

Summary:
- Magnetic moment: 3.1 μB per cell
- ρ: 6.330 g/cm3

Arrangement b

This record from Alexandria describes a relaxed structure of Ce2NpS6. The functional is PBE.

a = 4.6053 Å, b = 6.5236 Å, c = 7.9896 Å
α = 114.10°, β = 106.75°, γ = 90.00°
Last column: nearest neighbours and their distance in Å.
Fractional positions:
Ce: 0.6664 0.6663 0.3327  8 S 2.84-2.85
Ce: 0.3336 0.3337 0.6673  8 S 2.84-2.85
S: 0.5000 0.7572 0.0000  2 Np 2.79, 2 Ce 2.85
S: 0.5000 0.2428 0.0000  2 Np 2.79, 2 Ce 2.85
S: 0.1640 0.4104 0.3279  1 Np 2.78, 3 Ce 2.84-2.85
S: 0.1640 0.9175 0.3279  1 Np 2.78, 3 Ce 2.84-2.85
S: 0.8360 0.0825 0.6721  1 Np 2.78, 3 Ce 2.84-2.85
S: 0.8360 0.5896 0.6721  1 Np 2.78, 3 Ce 2.84-2.85
Np: 0.0000 0.0000 0.0000  8 S 2.78-2.79

Summary:
- Magnetic moment: 3.2 μB per cell
- ρ: 5.668 g/cm3

The winner here is arrangement b, beating the second structure by 29 meV per atom.

Arrangement a

This record from Alexandria describes a relaxed structure of CeNpS2. The functional is PBE.

a = 3.4469 Å, b = 4.9005 Å, c = 4.9005 Å
α = 90.00°, β = 90.00°, γ = 90.00°
Last column: nearest neighbours and their distance in Å.
Fractional positions:
S: 0.0000 0.5000 0.0000  4 Ce 3.00, 4 Np 3.00
S: 0.0000 0.0000 0.5000  4 Ce 3.00, 4 Np 3.00
Np: 0.5000 0.0000 0.0000  8 S 3.00
Ce: 0.5000 0.5000 0.5000  8 S 3.00

Summary:
- Magnetic moment: 6.4 μB per cell
- ρ: 8.851 g/cm3

Arrangement b

This record from Alexandria describes a relaxed structure of CeNpS2. The functional is PBE.

a = 3.9648 Å, b = 3.9648 Å, c = 6.8230 Å
α = 73.11°, β = 73.11°, γ = 60.00°
Last column: nearest neighbours and their distance in Å.
Fractional positions:
Np: 0.5000 0.5000 0.5000  6 S 2.75
Ce: 0.0000 0.0000 0.0000  6 S 2.84
S: 0.2461 0.2461 0.2616  3 Np 2.75, 3 Ce 2.84
S: 0.7539 0.7539 0.7384  3 Np 2.75, 3 Ce 2.84

Summary:
- Magnetic moment: 4.6 μB per cell
- ρ: 8.373 g/cm3

Arrangement c

This record from Alexandria describes a relaxed structure of CeNpS2. The functional is PBE.

a = 3.8547 Å, b = 3.8547 Å, c = 7.3533 Å
α = 74.80°, β = 74.80°, γ = 60.00°
Last column: nearest neighbours and their distance in Å.
Fractional positions:
Np: 0.4955 0.4955 0.5135  6 S 2.76-2.88
S: 0.2491 0.2491 0.2527  3 Np 2.88, 3 Ce 2.90
S: 0.0847 0.0847 0.7459  3 Np 2.76, 3 Ce 2.80
Ce: 0.6707 0.6707 0.9879  6 S 2.80-2.90

Summary:
- Magnetic moment: 5.2 μB per cell
- ρ: 8.124 g/cm3

The winner here is arrangement b, beating the second structure by 167 meV per atom.

Arrangement a

This record from Alexandria describes a relaxed structure of CeNpS3. The functional is PBE.

a = 3.9876 Å, b = 7.3489 Å, c = 15.1289 Å
α = 90.00°, β = 90.00°, γ = 90.00°
Last column: nearest neighbours and their distance in Å.
Fractional positions:
S: 0.7500 0.8443 0.2184  4 Ce 2.79-2.89, 1 Np 2.81, 1 S 3.10
S: 0.7500 0.1284 0.0669  3 Np 2.75-2.90, 2 Ce 2.91
S: 0.7500 0.4887 0.8960  3 Np 2.77-2.84, 1 Ce 2.99
S: 0.2500 0.3716 0.5669  3 Np 2.75-2.90, 2 Ce 2.91
S: 0.2500 0.0113 0.3960  3 Np 2.77-2.84, 1 Ce 2.99
S: 0.2500 0.6557 0.7184  4 Ce 2.79-2.89, 1 Np 2.81, 1 S 3.10
S: 0.2500 0.1557 0.7816  4 Ce 2.79-2.89, 1 Np 2.81, 1 S 3.10
S: 0.7500 0.9887 0.6040  3 Np 2.77-2.84, 1 Ce 2.99
S: 0.7500 0.6284 0.4331  3 Np 2.75-2.90, 2 Ce 2.91
S: 0.2500 0.8716 0.9331  3 Np 2.75-2.90, 2 Ce 2.91
S: 0.2500 0.5113 0.1040  3 Np 2.77-2.84, 1 Ce 2.99
S: 0.7500 0.3443 0.2816  4 Ce 2.79-2.89, 1 Np 2.81, 1 S 3.10
Ce: 0.2500 0.1272 0.2069  7 S 2.79-2.99
Ce: 0.7500 0.8728 0.7931  7 S 2.79-2.99
Ce: 0.7500 0.3728 0.7069  7 S 2.79-2.99
Ce: 0.2500 0.6272 0.2931  7 S 2.79-2.99
Np: 0.2500 0.2618 0.9603  7 S 2.75-2.90
Np: 0.7500 0.7382 0.0397  7 S 2.75-2.90
Np: 0.7500 0.2382 0.4603  7 S 2.75-2.90
Np: 0.2500 0.7618 0.5397  7 S 2.75-2.90

Summary:
- Magnetic moment: 19.5 μB per cell
- ρ: 7.091 g/cm3

Arrangement b

This record from Alexandria describes a relaxed structure of CeNpS3. The functional is PBE.

a = 3.9854 Å, b = 6.5689 Å, c = 8.6444 Å
α = 90.00°, β = 90.00°, γ = 90.00°
Last column: nearest neighbours and their distance in Å.
Fractional positions:
S: 0.0000 0.7681 0.3293  3 Np 2.73-2.78, 2 Ce 2.93, 1 S 3.05
S: 0.5000 0.5000 0.0699  2 Ce 2.77, 1 Np 2.87
S: 0.5000 0.2681 0.6707  3 Np 2.73-2.78, 2 Ce 2.93, 1 S 3.05
S: 0.0000 0.2319 0.3293  3 Np 2.73-2.78, 2 Ce 2.93, 1 S 3.05
S: 0.0000 0.0000 0.9301  2 Ce 2.77, 1 Np 2.87
S: 0.5000 0.7319 0.6707  3 Np 2.73-2.78, 2 Ce 2.93, 1 S 3.05
Ce: 0.0000 0.5000 0.8467  6 S 2.77-2.93
Ce: 0.5000 0.0000 0.1533  6 S 2.77-2.93
Np: 0.0000 0.0000 0.5985  7 S 2.73-2.87
Np: 0.5000 0.5000 0.4015  7 S 2.73-2.87

Summary:
- Magnetic moment: 9.8 μB per cell
- ρ: 6.946 g/cm3

The winner here is arrangement a, beating the second structure by 38 meV per atom.

Arrangement a

This record from Alexandria describes a relaxed structure of Ce2Np2S7. The functional is PBE.

a = 4.6252 Å, b = 4.6252 Å, c = 13.0806 Å
α = 90.00°, β = 90.00°, γ = 90.00°
Last column: nearest neighbours and their distance in Å.
Fractional positions:
Np: 0.5000 0.0000 0.3810  8 S 2.79-2.90
Np: 0.0000 0.5000 0.6190  8 S 2.79-2.90
S: 0.5000 0.5000 0.0000  4 Ce 2.98
S: 0.5000 0.5000 0.7389  2 Ce 2.78, 2 Np 2.79
S: 0.0000 0.0000 0.5000  4 Np 2.79
S: 0.5000 0.5000 0.2611  2 Ce 2.78, 2 Np 2.79
S: 0.0000 0.0000 0.7528  2 Ce 2.68, 2 Np 2.90
S: 0.0000 0.0000 0.2472  2 Ce 2.68, 2 Np 2.90
S: 0.5000 0.5000 0.5000  4 Np 2.79
Ce: 0.5000 0.0000 0.8564  6 S 2.68-2.98
Ce: 0.0000 0.5000 0.1436  6 S 2.68-2.98

Summary:
- Magnetic moment: 8.0 μB per cell
- ρ: 5.808 g/cm3

Arrangement b

This record from Alexandria describes a relaxed structure of Ce2Np2S7. The functional is PBE.

a = 3.9846 Å, b = 8.4217 Å, c = 8.4217 Å
α = 61.20°, β = 76.32°, γ = 76.32°
Last column: nearest neighbours and their distance in Å.
Fractional positions:
Ce: 0.7402 0.8427 0.6768  7 S 2.73-3.01
Ce: 0.2598 0.3232 0.1573  7 S 2.73-3.01
S: 0.6080 0.5034 0.2807  3 Np 2.82-2.92, 2 Ce 2.92, 1 S 3.01
S: 0.5000 0.0113 0.9887  3 Np 2.76-2.77
S: 0.3920 0.7193 0.4966  3 Np 2.82-2.92, 2 Ce 2.92, 1 S 3.01
S: 0.1838 0.7021 0.9302  1 Np 2.70, 3 Ce 2.73-2.81
S: 0.1327 0.1478 0.5868  2 Np 2.76, 2 Ce 3.01
S: 0.8673 0.4132 0.8522  2 Np 2.76, 2 Ce 3.01
S: 0.8162 0.0698 0.2979  1 Np 2.70, 3 Ce 2.73-2.81
Np: 0.5000 0.3336 0.6664  7 S 2.76-2.82
Np: 0.0000 0.7874 0.2126  8 S 2.70-2.92

Summary:
- Magnetic moment: 8.0 μB per cell
- ρ: 6.825 g/cm3

The winner here is arrangement b, beating the second structure by 114 meV per atom.